(1)
This record from the Alexandria database describes a relaxed NiTeP2Pt crystal. The functional is PBE.

Properties
M_tot: 0.00 μB/f.u.
SG: Cm (8)
DOS at the Fermi energy: 0.67 states/eV/atom
Energy relative to the elements, uncorrected: -1.074 eV per formula unit

a b c (Å): 8.246 3.606 6.284
angles (deg): 90.00 105.16 90.00
Atoms (fractional coordinates):
Te 0.694 0.500 0.903
Te 0.694 0.000 0.403
P 0.014 0.500 0.676
P 0.357 0.500 0.128
P 0.357 0.000 0.628
P 0.014 0.000 0.176
Pt 0.208 0.000 0.909
Pt 0.208 0.500 0.409
Ni 0.883 0.500 0.300
Ni 0.883 0.000 0.800

(2)
This record from the Alexandria database describes a relaxed Ca2TlOsCl crystal. The functional is PBE.

Properties
M_tot: 2.77 μB/f.u.
SG: P4/mmm (123)
DOS at the Fermi energy: 1.31 states/eV/atom
Energy relative to the elements, uncorrected: 5.196 eV per formula unit

a b c (Å): 5.948 5.415 5.948
angles (deg): 90.00 90.00 90.00
Each line ends with the local moment (μB).
Atoms (fractional coordinates):
Os 0.500 0.500 0.500  2.41
Tl 0.000 0.000 0.000  0.04
Ca 0.000 0.000 0.500  -0.01
Ca 0.500 0.000 0.000  0.00
Cl 0.000 0.500 0.000  0.02

(3)
This record from the Alexandria database describes a relaxed FePC2 crystal. The functional is PBE.

Properties
Formation energy from the elements: 32 kJ/mol of atoms
M_tot: 0.00 μB/f.u.
SG: Imm2 (44)
DOS at the Fermi energy: 0.40 states/eV/atom

a b c (Å): 2.479 3.211 10.383
angles (deg): 90.00 90.00 90.00
Atoms (fractional coordinates):
C 0.000 0.000 0.641
C 0.500 0.500 0.141
C 0.000 0.500 0.078
C 0.500 0.000 0.578
Fe 0.000 0.000 0.414
Fe 0.500 0.500 0.914
P 0.500 0.500 0.320
P 0.000 0.000 0.820

(4)
This record from the Alexandria database describes a relaxed Tb3P5S12 crystal. The functional is PBE.

Properties
M_tot: 0.00 μB/f.u.
SG: Ia-3d (230)
DOS at the Fermi energy: 0.28 states/eV/atom
Energy relative to the elements, uncorrected: -11.784 eV per formula unit

a b c (Å): 13.060 13.060 13.060
angles (deg): 109.47 109.47 109.47
Atoms (fractional coordinates):
S 0.825 0.918 0.294
S 0.175 0.082 0.706
S 0.294 0.418 0.825
S 0.175 0.093 0.969
S 0.125 0.706 0.531
S 0.031 0.407 0.825
S 0.407 0.375 0.582
S 0.675 0.469 0.593
S 0.625 0.593 0.918
S 0.918 0.825 0.794
S 0.031 0.625 0.706
S 0.918 0.093 0.625
S 0.125 0.418 0.093
S 0.418 0.125 0.593
S 0.706 0.582 0.175
S 0.593 0.969 0.675
S 0.082 0.907 0.375
S 0.794 0.469 0.375
S 0.469 0.794 0.875
S 0.206 0.531 0.625
S 0.469 0.675 0.093
S 0.294 0.875 0.969
S 0.206 0.675 0.082
S 0.907 0.825 0.531
S 0.969 0.593 0.175
S 0.325 0.794 0.418
S 0.969 0.375 0.294
S 0.582 0.706 0.675
S 0.093 0.918 0.125
S 0.825 0.907 0.031
S 0.082 0.175 0.206
S 0.418 0.294 0.325
S 0.531 0.206 0.125
S 0.794 0.325 0.918
S 0.625 0.031 0.206
S 0.582 0.875 0.407
S 0.907 0.082 0.875
S 0.407 0.031 0.325
S 0.706 0.125 0.031
S 0.875 0.294 0.469
S 0.325 0.531 0.407
S 0.593 0.625 0.418
S 0.875 0.582 0.907
S 0.375 0.969 0.794
S 0.531 0.325 0.907
S 0.375 0.407 0.082
S 0.093 0.175 0.469
S 0.675 0.206 0.582
P 0.375 0.250 0.125
P 0.000 0.500 0.000
P 0.875 0.250 0.625
P 0.250 0.375 0.625
P 0.750 0.625 0.375
P 0.000 0.000 0.500
P 0.000 0.500 0.500
P 0.250 0.875 0.125
P 0.625 0.875 0.250
P 0.500 0.500 0.000
P 0.125 0.750 0.375
P 0.500 0.500 0.500
P 0.625 0.750 0.875
P 0.125 0.375 0.250
P 0.375 0.125 0.750
P 0.500 0.000 0.000
P 0.750 0.125 0.875
P 0.875 0.625 0.750
P 0.000 0.000 0.000
P 0.500 0.000 0.500
Tb 0.750 0.375 0.125
Tb 0.375 0.625 0.250
Tb 0.375 0.750 0.625
Tb 0.250 0.625 0.875
Tb 0.125 0.250 0.875
Tb 0.875 0.750 0.125
Tb 0.875 0.125 0.250
Tb 0.750 0.875 0.625
Tb 0.250 0.125 0.375
Tb 0.625 0.375 0.750
Tb 0.625 0.250 0.375
Tb 0.125 0.875 0.750

(5)
This record from the Alexandria database describes a relaxed La5Nd2SmTh crystal. The functional is PBE.

Properties
Formation energy from the elements: 12 kJ/mol of atoms
M_tot: 0.00 μB/f.u.
SG: Cmc2_1 (36)
DOS at the Fermi energy: 1.42 states/eV/atom

a b c (Å): 5.592 11.424 10.627
angles (deg): 90.00 90.00 104.17
Atoms (fractional coordinates):
Nd 0.112 0.225 0.255
Nd 0.113 0.225 0.761
Nd 0.887 0.775 0.261
Nd 0.888 0.775 0.755
La 0.630 0.260 0.508
La 0.276 0.552 0.700
La 0.724 0.448 0.200
La 0.276 0.551 0.317
La 0.000 0.999 0.008
La 0.724 0.449 0.817
La 0.370 0.740 0.008
La 0.000 0.001 0.508
La 0.500 0.000 0.758
La 0.500 0.000 0.258
Sm 0.398 0.795 0.508
Sm 0.602 0.205 0.008
Th 0.788 0.577 0.508
Th 0.212 0.423 0.008

(6)
This record from the Alexandria database describes a relaxed KMnVSe3 crystal. The functional is PBE.

Properties
M_tot: 1.09 μB/f.u.
SG: P2_1/m (11)
DOS at the Fermi energy: 0.23 states/eV/atom
Energy relative to the elements, uncorrected: -4.137 eV per formula unit

a b c (Å): 3.534 8.556 9.800
angles (deg): 117.42 90.00 90.00
Each line ends with the local moment (μB).
Atoms (fractional coordinates):
K 0.250 0.248 0.259  0.00
K 0.750 0.752 0.741  0.00
Se 0.250 0.122 0.864  -0.04
Se 0.750 0.471 0.121  -0.12
Se 0.250 0.750 0.445  -0.02
Se 0.750 0.878 0.136  -0.04
Se 0.750 0.250 0.555  -0.02
Se 0.250 0.529 0.879  -0.12
V 0.750 0.915 0.392  -0.28
V 0.250 0.085 0.608  -0.28
Mn 0.250 0.692 0.167  1.62
Mn 0.750 0.308 0.833  1.62

(7)
This record from the Alexandria database describes a relaxed AgAsPb crystal. The functional is PBE.

Properties
Formation energy from the elements: 4 kJ/mol of atoms
M_tot: 0.00 μB/f.u.
SG: P6_3/mmc (194)
DOS at the Fermi energy: 0.19 states/eV/atom

a b c (Å): 4.565 4.563 8.127
angles (deg): 90.00 90.00 120.02
Atoms (fractional coordinates):
Ag 0.666 0.333 0.250
Ag 0.334 0.667 0.750
Pb 0.000 0.000 0.000
Pb 0.000 0.000 0.500
As 0.333 0.666 0.250
As 0.667 0.334 0.750

(8)
This record from the Alexandria database describes a relaxed Sc2NbZnN crystal. The functional is PBE.

Properties
M_tot: 0.00 μB/f.u.
SG: P4/mmm (123)
DOS at the Fermi energy: 0.61 states/eV/atom
Energy relative to the elements, uncorrected: -3.950 eV per formula unit

a b c (Å): 4.371 4.371 4.276
angles (deg): 90.00 90.00 90.00
Atoms (fractional coordinates):
Zn 0.500 0.500 0.500
Nb 0.000 0.000 0.500
Sc 0.500 0.000 0.000
Sc 0.000 0.500 0.000
N 0.000 0.000 0.000

(9)
This record from the Alexandria database describes a relaxed Sb3Rh crystal. The functional is PBE.

Properties
M_tot: 0.00 μB/f.u.
SG: Cmmm (65)
DOS at the Fermi energy: 0.51 states/eV/atom
Energy relative to the elements, uncorrected: 0.927 eV per formula unit

a b c (Å): 5.073 5.073 3.639
angles (deg): 90.00 90.00 103.40
Atoms (fractional coordinates):
Sb 0.500 0.500 0.000
Sb 0.000 0.500 0.500
Sb 0.500 0.000 0.500
Rh 0.000 0.000 0.000

(10)
This record from the Alexandria database describes a relaxed U2In8Ir crystal. The functional is PBE.

Properties
Formation energy from the elements: -8 kJ/mol of atoms
M_tot: 5.06 μB/f.u.
SG: P4/mmm (123)
DOS at the Fermi energy: 1.17 states/eV/atom

a b c (Å): 4.670 4.670 12.077
angles (deg): 90.00 90.00 90.00
Each line ends with the local moment (μB).
Atoms (fractional coordinates):
In 0.000 0.500 0.124  -0.01
In 0.000 0.500 0.500  0.01
In 0.500 0.000 0.500  0.01
In 0.500 0.000 0.124  -0.01
In 0.500 0.000 0.876  -0.01
In 0.500 0.500 0.310  0.01
In 0.500 0.500 0.690  0.01
In 0.000 0.500 0.876  -0.01
U 0.000 0.000 0.308  2.35
U 0.000 0.000 0.692  2.35
Ir 0.000 0.000 0.000  -0.06

(11)
This record from the Alexandria database describes a relaxed BiBPt3 crystal. The functional is PBE.

Properties
Formation energy from the elements: -20 kJ/mol of atoms
M_tot: 0.00 μB/f.u.
SG: P1 (1)
DOS at the Fermi energy: 0.40 states/eV/atom

a b c (Å): 4.210 6.547 6.974
angles (deg): 89.00 110.08 82.59
Atoms (fractional coordinates):
B 0.889 0.683 0.378
B 0.627 0.591 0.788
Pt 0.838 0.868 0.848
Pt 0.750 0.287 0.919
Pt 0.096 0.510 0.698
Pt 0.440 0.641 0.457
Pt 0.959 0.967 0.244
Pt 0.541 0.660 0.079
Bi 0.398 0.274 0.212
Bi 0.176 0.077 0.654

(12)
This record from the Alexandria database describes a relaxed Rb3Na crystal. The functional is PBE.

Properties
Formation energy from the elements: 3 kJ/mol of atoms
M_tot: 0.00 μB/f.u.
SG: I4/mmm (139)
DOS at the Fermi energy: 0.76 states/eV/atom

a b c (Å): 8.128 8.128 8.128
angles (deg): 131.08 131.08 71.69
Atoms (fractional coordinates):
Na 0.000 0.000 0.000
Rb 0.250 0.750 0.500
Rb 0.750 0.250 0.500
Rb 0.500 0.500 0.000

(13)
This record from the Alexandria database describes a relaxed Li3BeCd crystal. The functional is PBE.

Properties
Formation energy from the elements: 34 kJ/mol of atoms
M_tot: 0.00 μB/f.u.
SG: Pm-3m (221)
DOS at the Fermi energy: 0.45 states/eV/atom

a b c (Å): 4.531 4.531 4.531
angles (deg): 90.00 90.00 90.00
Atoms (fractional coordinates):
Be 0.000 0.000 0.000
Cd 0.500 0.500 0.500
Li 0.500 0.000 0.000
Li 0.000 0.000 0.500
Li 0.000 0.500 0.000

(14)
This record from the Alexandria database describes a relaxed Dy2InOsC crystal. The functional is PBE.

Properties
Formation energy from the elements: -39 kJ/mol of atoms
M_tot: 0.00 μB/f.u.
SG: P4/mmm (123)
DOS at the Fermi energy: 0.46 states/eV/atom

a b c (Å): 3.946 5.026 5.026
angles (deg): 90.00 90.00 90.00
Atoms (fractional coordinates):
C 0.000 0.000 0.000
Os 0.500 0.000 0.000
Dy 0.000 0.500 0.000
Dy 0.000 0.000 0.500
In 0.500 0.500 0.500

(15)
This record from the Alexandria database describes a relaxed InTe2As crystal. The functional is PBE.

Properties
M_tot: 0.00 μB/f.u.
SG: Pmmm (47)
DOS at the Fermi energy: 0.30 states/eV/atom
Energy relative to the elements, uncorrected: 0.089 eV per formula unit

a b c (Å): 4.236 3.227 8.528
angles (deg): 90.02 90.00 90.00
Atoms (fractional coordinates):
Te 0.000 0.251 0.015
Te 0.000 0.249 0.485
In 0.500 0.750 0.750
As 0.500 0.250 0.250

(16)
This record from the Alexandria database describes a relaxed ZnBr2 crystal. The functional is PBE.

Properties
M_tot: 0.00 μB/f.u.
SG: Pnnm (58)
DOS at the Fermi energy: 0.00 states/eV/atom
Energy relative to the elements, uncorrected: -2.200 eV per formula unit

a b c (Å): 3.697 6.434 7.008
angles (deg): 90.00 90.00 90.00
Atoms (fractional coordinates):
Br 0.000 0.718 0.353
Br 0.000 0.282 0.647
Br 0.500 0.782 0.853
Br 0.500 0.218 0.147
Zn 0.000 0.000 0.000
Zn 0.500 0.500 0.500

(17)
This record from the Alexandria database describes a relaxed LiPbS2 crystal. The functional is PBE.

Properties
M_tot: 0.00 μB/f.u.
SG: R3m (160)
DOS at the Fermi energy: 0.38 states/eV/atom
Energy relative to the elements, uncorrected: -2.284 eV per formula unit

a b c (Å): 3.905 3.905 6.934
angles (deg): 73.64 73.64 60.00
Atoms (fractional coordinates):
S 0.244 0.244 0.269
S 0.093 0.093 0.720
Pb 0.668 0.668 0.997
Li 0.496 0.496 0.513

(18)
This record from the Alexandria database describes a relaxed Sc2TiCuRh crystal. The functional is PBE.

Properties
Formation energy from the elements: 32 kJ/mol of atoms
M_tot: 0.09 μB/f.u.
SG: P4/mmm (123)
DOS at the Fermi energy: 2.05 states/eV/atom

a b c (Å): 4.803 4.797 4.803
angles (deg): 90.00 90.00 90.00
Each line ends with the local moment (μB).
Atoms (fractional coordinates):
Sc 0.000 0.000 0.500  -0.01
Sc 0.500 0.000 0.000  -0.03
Rh 0.000 0.000 0.000  0.00
Cu 0.000 0.500 0.000  0.01
Ti 0.500 0.500 0.500  0.10

(19)
This record from the Alexandria database describes a relaxed SrAgTe crystal. The functional is PBE.

Properties
M_tot: 0.00 μB/f.u.
SG: I4mm (107)
DOS at the Fermi energy: 0.55 states/eV/atom
Energy relative to the elements, uncorrected: -1.859 eV per formula unit

a b c (Å): 4.363 4.363 5.761
angles (deg): 112.25 112.25 90.00
Atoms (fractional coordinates):
Sr 0.941 0.941 0.882
Te 0.302 0.302 0.605
Ag 0.607 0.607 0.214

(20)
This record from the Alexandria database describes a relaxed PrCu2SiNi2 crystal. The functional is PBE.

Properties
M_tot: 0.00 μB/f.u.
SG: P4/mmm (123)
DOS at the Fermi energy: 1.03 states/eV/atom
Energy relative to the elements, uncorrected: -0.504 eV per formula unit

a b c (Å): 4.252 4.252 5.647
angles (deg): 90.00 90.00 90.00
Atoms (fractional coordinates):
Cu 0.500 0.500 0.741
Cu 0.500 0.500 0.259
Ni 0.000 0.500 0.000
Ni 0.500 0.000 0.000
Si 0.000 0.000 0.000
Pr 0.000 0.000 0.500